1.
5
Lattice="-2.8828 2.8828 2.8828 2.8828 -2.8828 2.8828 2.8828 2.8828 -2.8828" Properties=species:S:1:pos:R:3 comment="AsP4 | the Alexandria database | PBE | relaxed" dos_ef_per_ev_fu=4.08 space_group="Im-3m, No. 229" crystal_system=cubic pbc="T T T"
P -1.4414 1.4414 1.4414
As 0.0000 0.0000 0.0000
P 1.4414 1.4414 1.4414
P 1.4414 1.4414 -1.4414
P 1.4414 -1.4414 1.4414

---

2.
5
Lattice="-2.3097 2.3097 3.8453 2.3097 -2.3097 3.8453 2.3097 2.3097 -3.8453" Properties=species:S:1:pos:R:3 comment="AsP4 | the Alexandria database | PBE | relaxed" dos_ef_per_ev_fu=2.09 space_group="I4/mmm, No. 139" crystal_system=tetragonal pbc="T T T"
P 0.0000 0.0000 2.6199
As 0.0000 0.0000 0.0000
P 0.0000 0.0000 5.0706
P 2.3097 0.0000 1.9226
P 0.0000 2.3097 1.9226

---

It comes down to 2, which is 473 meV per atom more stable than the next structure.